# TaSbP2

TaSbP2 after structural relaxation (PBE-GGA, Alexandria via LeMat-Bulk).

abc: 5.450 5.450 5.450
angles: 138.23 138.23 60.55
Sites, in units of the cell vectors:
Ta: 0.750 0.250 0.500
Sb: 0.500 0.500 0.000
P: 0.000 0.000 0.000
P: 0.250 0.750 0.500

Calculated values
The uncorrected formation energy is 0.413 eV/atom. The calculation puts the spin magnetization at 0.00 μB per atom.